1.
DFT (GGA-PBE) results for a relaxed structure of TbSm6Tl2.

```
9
Lattice="-2.863 2.428 0.653 -4.097 -0.380 -5.432 -8.517 -7.849 2.962" Properties=species:S:1:pos:R:3 pbc="T T T"
Tb 0.000 0.000 0.000
Sm -5.088 0.498 -1.926
Sm -9.154 -4.170 -2.390
Sm -10.389 -6.299 0.110
Sm -6.930 -5.243 0.229
Sm -8.547 -0.558 -2.045
Sm -6.323 -1.631 0.574
Tl -12.421 -5.068 -2.261
Tl -3.056 -0.733 0.444
```

Computed properties:
Crystal system: monoclinic
Calculated formation energy: -0.15 eV per atom

2.
DFT (GGA-PBE) results for a relaxed structure of Pr12AgSn6.

```
19
Lattice="-7.323 -4.702 -2.522 6.299 -6.481 -0.644 -1.227 0.078 8.977" Properties=species:S:1:pos:R:3 pbc="T T T"
Pr 0.998 -9.292 -2.030
Pr -7.560 -4.595 3.630
Pr -2.825 -7.505 1.507
Pr -3.441 -3.857 2.257
Pr 0.574 -3.601 4.303
Pr 5.309 -6.510 2.180
Pr 0.214 -5.629 0.287
Pr -5.101 -6.677 -2.172
Pr 2.850 -4.428 7.983
Pr -3.249 -1.813 7.840
Pr -2.465 -5.476 5.523
Pr 1.190 -7.248 3.553
Sn -2.814 -4.987 -0.675
Sn -2.278 -2.228 4.806
Sn 0.026 -8.877 1.005
Sn 0.563 -6.118 6.486
Sn 2.684 -4.659 2.083
Sn -4.935 -6.446 3.728
Ag 0.000 0.000 0.000
```

Computed properties:
Crystal system: trigonal
Calculated formation energy: -0.33 eV per atom

3.
DFT (GGA-PBE) results for a relaxed structure of CdSiBr2.

```
4
Lattice="-0.535 -2.833 -2.369 2.184 -0.505 2.983 -7.481 -2.775 5.007" Properties=species:S:1:pos:R:3 pbc="T T T"
Br -6.953 -2.578 4.653
Br -1.562 -2.554 1.904
Cd -3.888 -1.442 2.602
Si -4.652 -3.700 3.973
```

Computed properties:
Energy relative to the elements, uncorrected: -10 meV/atom
Crystal system: orthorhombic

4.
DFT (GGA-PBE) results for a relaxed structure of Sr2Sn2Hg3.

```
7
Lattice="-2.237 2.697 3.578 -4.385 -2.945 -4.026 0.738 -5.307 4.463" Properties=species:S:1:pos:R:3 pbc="T T T"
Hg 0.000 0.000 0.000
Hg -2.890 -1.760 -0.480
Hg -2.994 -3.795 4.494
Sr -2.198 -0.672 2.637
Sr -3.685 -4.883 1.378
Sn -0.573 -3.794 2.502
Sn -5.310 -1.761 1.513
```

Computed properties:
Crystal system: monoclinic
Calculated formation energy: -0.40 eV per atom

5.
DFT (GGA-PBE) results for a relaxed structure of La2MgZn4.

```
7
Lattice="-4.733 0.069 1.529 -1.046 0.615 4.824 -2.159 8.369 1.030" Properties=species:S:1:pos:R:3 pbc="T T T"
Zn -4.057 7.603 3.280
Zn -5.866 3.731 5.945
Zn -2.072 5.322 1.437
Zn -3.881 1.450 4.102
La -5.954 6.789 5.537
La -1.985 2.263 1.846
Mg 0.000 0.000 0.000
```

Computed properties:
Crystal system: trigonal
Calculated formation energy: -0.13 eV per atom

6.
DFT (GGA-PBE) results for a relaxed structure of Er5InCu2.

```
16
Lattice="7.068 0.000 -3.336 -1.575 6.890 -3.336 -0.300 -0.376 8.519" Properties=species:S:1:pos:R:3 pbc="T T T"
Er 0.769 5.397 -1.251
Er 2.326 4.562 2.048
Er -0.916 3.284 4.335
Er 4.424 1.117 3.098
Er 6.109 3.230 -2.489
Er 1.183 -0.161 5.385
Er 2.867 1.952 -0.202
Er 4.010 6.675 -3.538
Er 2.746 3.445 -3.336
Er 0.000 0.000 0.000
Cu 1.253 6.005 -4.147
Cu 5.170 4.330 -5.004
Cu 0.323 2.560 -1.668
Cu 4.240 0.885 -2.526
In 1.223 1.535 2.592
In 3.970 4.980 -0.745
```

Computed properties:
Crystal system: tetragonal
Calculated formation energy: -0.25 eV per atom